(1)
First-principles (PBE) data for crystalline In2FeRe at its relaxed geometry, as listed in Alexandria.

Energy above the most stable polymorph in this dataset = 280 meV per atom
Formation energy from the elements = 0.580 eV per atom

Cell: 4.1038 4.1070 4.0953 Å, 90.00 90.00 90.00°
With the nearest neighbours (Å) after each atom.
Positions (direct):
Fe 0.0000 0.5000 0.5000  8 In 2.90, 4 Re 2.90
In 0.0000 0.0000 0.0000  4 Re 2.90, 4 Fe 2.90, 4 In 2.90
In 0.5000 0.5000 0.0000  4 Fe 2.90, 4 Re 2.90, 4 In 2.90
Re 0.5000 0.0000 0.5000  8 In 2.90, 4 Fe 2.90

***

(2)
First-principles (PBE) data for crystalline InFeRe2 at its relaxed geometry, as listed in Alexandria.

Formation energy from the elements = 0.282 eV per atom

Cell: 2.8698 2.8698 7.5667 Å, 90.00 90.00 90.00°
With the nearest neighbours (Å) after each atom.
Positions (direct):
Fe 0.0000 0.0000 0.4786  4 Re 2.64, 4 In 2.83, 4 Fe 2.87
In 0.5000 0.5000 0.7384  4 Fe 2.83, 4 In 2.87, 4 Re 2.98
Re 0.0000 0.0000 0.0277  8 Re 2.66-2.87
Re 0.5000 0.5000 0.2553  4 Fe 2.64, 8 Re 2.66-2.87

***

(3)
First-principles (PBE) data for crystalline InFe2Re at its relaxed geometry, as listed in Alexandria.

Formation energy from the elements = 0.410 eV per atom

Cell: 4.5739 4.5739 4.9209 Å, 81.14 81.14 36.17°
With the nearest neighbours (Å) after each atom.
Positions (direct):
Fe 0.9940 0.9940 0.0491  2 Fe 2.45, 3 Re 2.58-2.61
Fe 0.5060 0.5060 0.4509  2 Fe 2.45, 3 Re 2.58-2.61
In 0.7500 0.7500 0.7500  6 Fe 2.77-2.84, 2 In 2.84, 4 Re 2.84
Re 0.2500 0.2500 0.2500  6 Fe 2.58-2.61, 2 Re 2.84, 4 In 2.84